A plane-wave DFT calculation with PBE-GGA was carried out for a geometry-optimized Tl3SI structure.

```
Tl3SI
1.0
8.044 0.000 0.000
0.000 4.691 0.000
-1.275 0.000 10.165
Tl S I
6 2 2
direct
0.107 0.250 0.122
0.205 0.250 0.532
0.392 0.750 0.873
0.608 0.250 0.127
0.795 0.750 0.468
0.893 0.750 0.878
0.104 0.750 0.692
0.896 0.250 0.308
0.370 0.750 0.275
0.630 0.250 0.725
```

Summary:
- SG: P2_1/m
- Uncorrected formation energy: -0.401 eV/atom
- Total DFT energy (no corrections): -29.56 eV per cell



A plane-wave DFT calculation with PBE-GGA was carried out for a geometry-optimized FeSbP3 structure.

```
FeSbP3
1.0
4.429 0.000 0.000
0.000 4.429 0.000
0.000 0.000 4.429
Fe Sb P
1 1 3
direct
0.000 0.000 0.000
0.500 0.500 0.500
0.000 0.000 0.500
0.000 0.500 0.000
0.500 0.000 0.000
```

Summary:
- SG: Pm-3m
- Uncorrected formation energy: 0.468 eV/atom
- Total DFT energy (no corrections): -26.48 eV per cell
- DOS(E_F): 3.757 states/eV/f.u.



A plane-wave DFT calculation with PBE-GGA was carried out for a geometry-optimized TlGaO2 structure.

```
TlGaO2
1.0
5.083 0.000 0.000
0.000 3.139 0.000
-0.170 0.000 8.505
Tl Ga O
2 2 4
direct
0.247 0.250 0.341
0.753 0.750 0.659
0.256 0.250 0.972
0.744 0.750 0.028
0.092 0.750 0.121
0.430 0.750 0.874
0.570 0.250 0.126
0.908 0.250 0.879
```

Summary:
- SG: P2_1/m
- Uncorrected formation energy: -1.349 eV/atom
- Total DFT energy (no corrections): -41.41 eV per cell
- DOS(E_F): 0.000 states/eV/f.u.



A plane-wave DFT calculation with PBE-GGA was carried out for a geometry-optimized Cs2NaMgHg2 structure.

```
Cs2NaMgHg2
1.0
-3.696 9.145 3.733
3.696 -9.145 3.733
3.696 9.145 -3.733
Cs Na Mg Hg
4 2 2 4
direct
0.174 0.235 0.409
0.326 0.735 0.061
0.674 0.265 0.939
0.826 0.765 0.591
0.250 0.250 0.000
0.750 0.750 0.000
0.250 0.750 0.500
0.750 0.250 0.500
0.090 0.720 0.809
0.410 0.220 0.630
0.590 0.780 0.370
0.910 0.280 0.191
```

Summary:
- SG: Ibam
- Energy of formation: -166 meV/atom
- Total DFT energy (no corrections): -12.44 eV per cell
- DOS(E_F): 2.857 states/eV/f.u.



A plane-wave DFT calculation with PBE-GGA was carried out for a geometry-optimized Sr2MgSbS structure.

```
Sr2MgSbS
1.0
6.221 0.000 0.000
0.000 6.221 0.000
0.000 0.000 5.240
Sr Mg Sb S
2 1 1 1
direct
0.000 0.500 0.000
0.500 0.000 0.000
0.000 0.000 0.500
0.000 0.000 0.000
0.500 0.500 0.500
```

Summary:
- SG: P4/mmm
- Uncorrected formation energy: -0.412 eV/atom
- Total DFT energy (no corrections): -15.27 eV per cell
- DOS(E_F): 2.332 states/eV/f.u.



A plane-wave DFT calculation with PBE-GGA was carried out for a geometry-optimized MnSi2SN structure.

```
MnSi2SN
1.0
2.950 0.000 0.000
-1.475 2.555 0.000
0.000 0.000 9.910
Mn Si S N
1 2 1 1
direct
0.000 0.000 0.000
0.333 0.667 0.163
0.333 0.667 0.402
0.333 0.667 0.858
0.667 0.333 0.456
```

Summary:
- SG: P3m1
- Uncorrected formation energy: -0.458 eV/atom
- Total DFT energy (no corrections): -34.76 eV per cell
- DOS(E_F): 0.449 states/eV/f.u.



A plane-wave DFT calculation with PBE-GGA was carried out for a geometry-optimized Y2Ag3Pb structure.

```
Y2Ag3Pb
1.0
0.000 4.852 8.436
3.472 0.000 8.436
3.472 4.852 0.000
Y Ag Pb
4 6 2
direct
0.242 0.758 0.758
0.250 0.250 0.250
0.750 0.750 0.750
0.758 0.242 0.242
0.163 0.674 0.326
0.165 0.165 0.835
0.326 0.837 0.163
0.674 0.163 0.837
0.835 0.835 0.165
0.837 0.326 0.674
0.335 0.335 0.665
0.665 0.665 0.335
```

Summary:
- SG: Fmmm
- Energy of formation: -299 meV/atom
- Total DFT energy (no corrections): -53.97 eV per cell
- DOS(E_F): 4.389 states/eV/f.u.



A plane-wave DFT calculation with PBE-GGA was carried out for a geometry-optimized Ce3Zn2Au7 structure.

```
Ce3Zn2Au7
1.0
-2.141 2.141 14.512
2.141 -2.141 14.512
2.141 2.141 -14.512
Ce Zn Au
3 2 7
direct
0.000 0.000 0.000
0.174 0.174 0.000
0.826 0.826 0.000
0.368 0.368 0.000
0.632 0.632 0.000
0.081 0.581 0.500
0.278 0.278 0.000
0.419 0.919 0.500
0.500 0.500 0.000
0.581 0.081 0.500
0.722 0.722 0.000
0.919 0.419 0.500
```

Summary:
- SG: I4/mmm
- Energy of formation: -443 meV/atom
- Total DFT energy (no corrections): -48.60 eV per cell
- DOS(E_F): 23.943 states/eV/f.u.



A plane-wave DFT calculation with PBE-GGA was carried out for a geometry-optimized BaZn2Hg structure.

```
BaZn2Hg
1.0
3.459 -3.453 0.000
3.459 3.453 0.000
-0.065 0.000 4.855
Ba Zn Hg
1 2 1
direct
0.000 0.000 0.000
0.000 0.500 0.500
0.500 0.000 0.500
0.500 0.500 0.000
```

Summary:
- SG: C2/m
- Energy of formation: -54 meV/atom
- Total DFT energy (no corrections): -4.99 eV per cell
- DOS(E_F): 3.672 states/eV/f.u.



A plane-wave DFT calculation with PBE-GGA was carried out for a geometry-optimized La2YEr2 structure.

```
La2YEr2
1.0
2.730 -8.707 0.000
2.730 8.707 0.000
0.000 0.000 3.522
La Y Er
2 1 2
direct
0.200 0.800 0.000
0.800 0.200 0.000
0.000 0.000 0.000
0.400 0.600 0.500
0.600 0.400 0.500
```

Summary:
- SG: Cmmm
- Energy of formation: 79 meV/atom
- Total DFT energy (no corrections): -25.05 eV per cell
- DOS(E_F): 9.512 states/eV/f.u.



A plane-wave DFT calculation with PBE-GGA was carried out for a geometry-optimized SrMg2Cu structure.

```
SrMg2Cu
1.0
-2.486 2.774 3.711
2.486 -2.774 3.711
2.486 2.774 -3.711
Sr Mg Cu
1 2 1
direct
0.000 0.000 0.000
0.473 0.473 0.000
0.714 0.214 0.500
0.302 0.802 0.500
```

Summary:
- SG: Imm2
- Energy of formation: 74 meV/atom
- Total DFT energy (no corrections): -8.67 eV per cell
- DOS(E_F): 3.320 states/eV/f.u.



A plane-wave DFT calculation with PBE-GGA was carried out for a geometry-optimized FeTc3S structure.

```
FeTc3S
1.0
4.314 0.000 0.000
0.000 4.314 0.000
0.000 0.000 4.314
Fe Tc S
1 3 1
direct
0.000 0.000 0.000
0.000 0.500 0.500
0.500 0.000 0.500
0.500 0.500 0.000
0.500 0.500 0.500
```

Summary:
- SG: Pm-3m
- Uncorrected formation energy: 0.632 eV/atom
- Total DFT energy (no corrections): -40.53 eV per cell
- DOS(E_F): 5.341 states/eV/f.u.



A plane-wave DFT calculation with PBE-GGA was carried out for a geometry-optimized CaErPt structure.

```
CaErPt
1.0
4.118 0.000 0.000
-2.059 3.567 0.000
0.000 0.000 6.353
Ca Er Pt
1 1 1
direct
0.000 0.000 0.000
0.667 0.333 0.523
0.333 0.667 0.735
```

Summary:
- SG: P3m1
- Energy of formation: -723 meV/atom
- Total DFT energy (no corrections): -14.78 eV per cell
- DOS(E_F): 2.677 states/eV/f.u.



A plane-wave DFT calculation with PBE-GGA was carried out for a geometry-optimized MnTl2BSe4 structure.

```
MnTl2BSe4
1.0
0.000 6.370 11.802
2.985 0.000 11.802
2.985 6.370 0.000
Mn Tl B Se
2 4 2 8
direct
0.125 0.125 0.125
0.875 0.875 0.875
0.064 0.064 0.686
0.314 0.314 0.936
0.686 0.686 0.064
0.936 0.936 0.314
0.375 0.375 0.375
0.625 0.625 0.625
0.023 0.627 0.538
0.312 0.538 0.627
0.373 0.977 0.688
0.462 0.688 0.977
0.538 0.312 0.023
0.627 0.023 0.312
0.688 0.462 0.373
0.977 0.373 0.462
```

Summary:
- SG: Fddd
- Uncorrected formation energy: -0.268 eV/atom
- Total DFT energy (no corrections): -73.33 eV per cell
- DOS(E_F): 2.934 states/eV/f.u.



A plane-wave DFT calculation with PBE-GGA was carried out for a geometry-optimized Sc3TlZn structure.

```
Sc3TlZn
1.0
7.420 0.000 0.000
-3.710 6.426 0.000
0.000 0.000 4.889
Sc Tl Zn
6 2 2
direct
0.191 0.382 0.250
0.191 0.809 0.250
0.382 0.191 0.750
0.618 0.809 0.250
0.809 0.191 0.750
0.809 0.618 0.750
0.333 0.667 0.750
0.667 0.333 0.250
0.000 0.000 0.000
0.000 0.000 0.500
```

Summary:
- SG: P6_3/mmc
- Energy of formation: -108 meV/atom
- Total DFT energy (no corrections): -46.35 eV per cell
- DOS(E_F): 3.741 states/eV/f.u.



A plane-wave DFT calculation with PBE-GGA was carried out for a geometry-optimized Ta3MnB7 structure.

```
Ta3MnB7
1.0
1.599 -7.140 0.000
1.599 7.140 0.000
0.000 0.000 8.783
Ta Mn B
6 2 14
direct
0.107 0.893 0.554
0.107 0.893 0.946
0.249 0.751 0.250
0.751 0.249 0.750
0.893 0.107 0.054
0.893 0.107 0.446
0.049 0.951 0.250
0.951 0.049 0.750
0.273 0.727 0.533
0.273 0.727 0.967
0.368 0.632 0.652
0.368 0.632 0.848
0.432 0.568 0.250
0.486 0.514 0.595
0.486 0.514 0.905
0.514 0.486 0.095
0.514 0.486 0.405
0.568 0.432 0.750
0.632 0.368 0.152
0.632 0.368 0.348
0.727 0.273 0.033
0.727 0.273 0.467
```

Summary:
- SG: Cmcm
- Energy of formation: -650 meV/atom
- Total DFT energy (no corrections): -197.23 eV per cell
- DOS(E_F): 2.971 states/eV/f.u.



A plane-wave DFT calculation with PBE-GGA was carried out for a geometry-optimized AlCoMoIr structure.

```
AlCoMoIr
1.0
0.000 3.039 3.039
3.039 0.000 3.039
3.039 3.039 0.000
Al Co Mo Ir
1 1 1 1
direct
0.000 0.000 0.000
0.750 0.750 0.750
0.500 0.500 0.500
0.250 0.250 0.250
```

Summary:
- SG: F-43m
- Energy of formation: -255 meV/atom
- Total DFT energy (no corrections): -31.56 eV per cell
- DOS(E_F): 3.351 states/eV/f.u.



A plane-wave DFT calculation with PBE-GGA was carried out for a geometry-optimized Al2Fe2Os structure.

```
Al2Fe2Os
1.0
6.682 0.000 0.000
0.000 6.682 0.000
0.000 0.000 2.889
Al Fe Os
4 4 2
direct
0.136 0.364 0.000
0.364 0.864 0.000
0.636 0.136 0.000
0.864 0.636 0.000
0.163 0.663 0.500
0.337 0.163 0.500
0.663 0.837 0.500
0.837 0.337 0.500
0.000 0.000 0.000
0.500 0.500 0.000
```

Summary:
- SG: P4/mbm
- Energy of formation: -11 meV/atom
- Total DFT energy (no corrections): -71.39 eV per cell
- DOS(E_F): 4.319 states/eV/f.u.



A plane-wave DFT calculation with PBE-GGA was carried out for a geometry-optimized La6Ir2Se3I structure.

```
La6Ir2Se3I
1.0
9.499 -2.123 0.000
9.499 2.123 0.000
-2.262 0.000 8.738
La Ir Se I
6 2 3 1
direct
0.014 0.014 0.280
0.321 0.321 0.881
0.326 0.326 0.428
0.674 0.674 0.572
0.679 0.679 0.119
0.986 0.986 0.720
0.169 0.169 0.334
0.831 0.831 0.666
0.156 0.156 0.840
0.500 0.500 0.500
0.844 0.844 0.160
0.500 0.500 0.000
```

Summary:
- SG: C2/m
- Uncorrected formation energy: -1.420 eV/atom
- Total DFT energy (no corrections): -76.33 eV per cell
- DOS(E_F): 6.879 states/eV/f.u.



A plane-wave DFT calculation with PBE-GGA was carried out for a geometry-optimized CdNiSeN2 structure.

```
CdNiSeN2
1.0
3.796 0.000 0.000
0.000 3.796 0.000
0.000 0.000 5.485
Cd Ni Se N
1 1 1 2
direct
0.000 0.000 0.000
0.500 0.500 0.500
0.500 0.500 0.000
0.000 0.500 0.500
0.500 0.000 0.500
```

Summary:
- SG: P4/mmm
- Uncorrected formation energy: 1.020 eV/atom
- Total DFT energy (no corrections): -21.73 eV per cell
- DOS(E_F): 2.209 states/eV/f.u.



A plane-wave DFT calculation with PBE-GGA was carried out for a geometry-optimized SrGe2Pt5Au structure.

```
SrGe2Pt5Au
1.0
4.131 0.000 0.000
0.000 4.131 0.000
0.000 0.000 11.198
Sr Ge Pt Au
1 2 5 1
direct
0.000 0.000 0.000
0.500 0.500 0.216
0.500 0.500 0.784
0.000 0.500 0.334
0.000 0.500 0.666
0.500 0.000 0.334
0.500 0.000 0.666
0.500 0.500 0.000
0.000 0.000 0.500
```

Summary:
- SG: P4/mmm
- Energy of formation: -375 meV/atom
- Total DFT energy (no corrections): -47.77 eV per cell
- DOS(E_F): 4.294 states/eV/f.u.



A plane-wave DFT calculation with PBE-GGA was carried out for a geometry-optimized DyGe2Ir3 structure.

```
DyGe2Ir3
1.0
-1.993 1.993 7.748
1.993 -1.993 7.748
1.993 1.993 -7.748
Dy Ge Ir
1 2 3
direct
0.000 0.000 0.000
0.344 0.344 0.000
0.656 0.656 0.000
0.250 0.750 0.500
0.500 0.500 0.000
0.750 0.250 0.500
```

Summary:
- SG: I4/mmm
- Energy of formation: -412 meV/atom
- Total DFT energy (no corrections): -42.89 eV per cell
- DOS(E_F): 2.745 states/eV/f.u.



A plane-wave DFT calculation with PBE-GGA was carried out for a geometry-optimized K4SbI structure.

```
K4SbI
1.0
2.840 -10.598 0.000
2.840 10.598 0.000
0.000 0.000 9.448
K Sb I
8 2 2
direct
0.046 0.954 0.750
0.180 0.820 0.250
0.327 0.673 0.031
0.327 0.673 0.469
0.673 0.327 0.531
0.673 0.327 0.969
0.820 0.180 0.750
0.954 0.046 0.250
0.207 0.793 0.750
0.793 0.207 0.250
0.446 0.554 0.750
0.554 0.446 0.250
```

Summary:
- SG: Cmcm
- Uncorrected formation energy: -0.723 eV/atom
- Total DFT energy (no corrections): -28.80 eV per cell
- DOS(E_F): 1.474 states/eV/f.u.